# 1
This record from Alexandria describes an optimized crystal structure of SrMn2Be. The functional is GGA-PBE.

Lattice parameters (Å, degrees): 3.0474 5.1513 9.4713 90.00 90.00 90.00
Space group Immm (No. 71)
One atom of each set of equivalent atoms:
Sr 0.0000 0.0000 0.0000 (multiplicity 2)
Mn 0.0000 0.5000 0.1955 (multiplicity 4)
Be 0.0000 0.0000 0.5000 (multiplicity 2)

Output
- energy of formation (eV per atom) = 0.6654

---

# 2
This record from Alexandria describes an optimized crystal structure of SrMn2Be. The functional is GGA-PBE.

Lattice parameters (Å, degrees): 4.0201 4.0201 17.1444 90.00 90.00 120.00
Space group R-3m (No. 166, hexagonal axes)
One atom of each set of equivalent atoms:
Sr 0.0000 0.0000 0.0000 (multiplicity 3)
Mn 0.0000 0.0000 0.1999 (multiplicity 6)
Be 0.0000 0.0000 0.5000 (multiplicity 3)

Output
- energy of formation (eV per atom) = 0.4434

---

# 3
This record from Alexandria describes an optimized crystal structure of SrMn2Be. The functional is GGA-PBE.

Lattice parameters (Å, degrees): 5.8133 9.6522 2.9573 90.00 118.24 90.00
Space group C2/m (No. 12)
One atom of each set of equivalent atoms:
Sr 0.0000 0.0000 0.0000 (multiplicity 2)
Mn 0.2500 0.2500 0.5000 (multiplicity 4)
Be 0.0000 0.5000 0.0000 (multiplicity 2)

Output
- energy of formation (eV per atom) = 0.9849

---

# 4
This record from Alexandria describes an optimized crystal structure of Sr2MnBe. The functional is GGA-PBE.

Lattice parameters (Å, degrees): 3.4858 3.4858 8.9515 90.00 90.00 90.00
Space group P4mm (No. 99)
One atom of each set of equivalent atoms:
Sr 0.0000 0.0000 0.0000 (multiplicity 1)
Sr 0.5000 0.5000 0.4005 (multiplicity 1)
Mn 0.5000 0.5000 0.7382 (multiplicity 1)
Be 0.0000 0.0000 0.6571 (multiplicity 1)

Output
- energy of formation (eV per atom) = 0.4667

---

# 5
This record from Alexandria describes an optimized crystal structure of SrMn2Be. The functional is GGA-PBE.

Lattice parameters (Å, degrees): 4.8144 4.8144 6.7781 90.00 90.00 90.00
Space group I-4m2 (No. 119)
One atom of each set of equivalent atoms:
Sr 0.0000 0.0000 0.0000 (multiplicity 2)
Mn 0.0000 0.0000 0.5000 (multiplicity 2)
Mn 0.0000 0.5000 0.7500 (multiplicity 2)
Be 0.0000 0.5000 0.2500 (multiplicity 2)

Output
- energy of formation (eV per atom) = 0.8395

---

# 6
This record from Alexandria describes an optimized crystal structure of SrMn2Be. The functional is GGA-PBE.

Lattice parameters (Å, degrees): 4.4525 4.4525 16.7196 90.00 90.00 90.00
Space group I4_1/amd (No. 141, origin choice 2)
One atom of each set of equivalent atoms:
Sr 0.0000 0.2500 0.3750 (multiplicity 4)
Mn 0.0000 0.0000 0.0000 (multiplicity 8)
Be 0.0000 0.2500 0.8750 (multiplicity 4)

Output
- energy of formation (eV per atom) = 0.7547

---

# 7
This record from Alexandria describes an optimized crystal structure of SrMn2Be. The functional is GGA-PBE.

Lattice parameters (Å, degrees): 3.1100 3.1100 7.2133 90.00 90.00 90.00
Space group P4mm (No. 99)
One atom of each set of equivalent atoms:
Sr 0.0000 0.0000 0.0000 (multiplicity 1)
Mn 0.0000 0.0000 0.4680 (multiplicity 1)
Mn 0.5000 0.5000 0.6433 (multiplicity 1)
Be 0.5000 0.5000 0.3172 (multiplicity 1)

Output
- energy of formation (eV per atom) = 0.4507

---

# 8
This record from Alexandria describes an optimized crystal structure of SrMn2Be. The functional is GGA-PBE.

Lattice parameters (Å, degrees): 3.7095 3.9651 6.0155 90.00 106.87 90.00
Space group Pm (No. 6)
One atom of each set of equivalent atoms:
Sr 0.0000 0.0000 0.0000 (multiplicity 1)
Mn 0.2491 0.5000 0.5279 (multiplicity 1)
Mn 0.7197 0.0000 0.4703 (multiplicity 1)
Be 0.6368 0.5000 0.2897 (multiplicity 1)

Output
- energy of formation (eV per atom) = 0.5825

---

no.,V (Å³ per cell),magnetization (μB/f.u.),DFT total energy (eV per atom)
1,149,6.90,-5.2714
2,240,6.31,-5.4934
3,146,6.53,-4.9519
4,109,3.38,-3.5981
5,157,7.46,-5.0973
6,331,4.35,-5.1821
7,70,0.51,-5.4861
8,85,6.77,-5.3542